[1]
DFT (PBE) results for a relaxed structure of TmHf2Ti.

Results
SG = No. 166
energy = -7.900 eV/atom
ΔE to the lowest computed polymorph = 0.08 eV/f.u.
ρ = 10.55 Mg/m³
ΔE_f = 0.168 eV/atom
magnetic moment = 0.0 μB per formula unit

a b c (Å): 3.170 3.170 10.541
angles (deg): 81.35 81.35 60.00
Fractional coordinates of all 4 atoms:
Tm1 0.500 0.500 0.500
Hf1 0.257 0.257 0.229
Hf2 0.743 0.743 0.771
Ti1 0.000 0.000 0.000

[2]
DFT (PBE) results for a relaxed structure of Th2NpU3As6.

Results
SG = No. 12
energy = -8.390 eV/atom
ρ = 10.23 Mg/m³
ΔE_f = -0.928 eV/atom
magnetic moment = 2.0 μB per formula unit

a b c (Å): 4.121 8.340 9.302
angles (deg): 103.58 102.80 90.00
Last column: magnetic moment on the atom in μB.
Fractional coordinates of all 12 atoms:
Th1 0.836 0.667 0.672  -0.02
Th2 0.164 0.333 0.328  -0.02
Np1 0.500 0.000 0.000  -3.83
U1 0.500 0.500 0.000  -2.21
U2 0.831 0.163 0.662  2.08
U3 0.169 0.837 0.338  2.08
As1 0.333 0.924 0.667  -0.02
As2 0.665 0.592 0.329  -0.01
As3 0.667 0.076 0.333  -0.02
As4 0.995 0.248 0.990  0.05
As5 0.005 0.752 0.010  0.05
As6 0.335 0.408 0.671  -0.01

[3]
DFT (PBE) results for a relaxed structure of Tc2Au.

Results
SG = No. 189
energy = -7.629 eV/atom
ΔE to the lowest computed polymorph = 0.74 eV/f.u.
ρ = 14.00 Mg/m³
ΔE_f = 0.374 eV/atom
magnetic moment = 0.0 μB per formula unit

a b c (Å): 7.676 7.676 2.740
angles (deg): 90.00 90.00 120.00
Fractional coordinates of all 9 atoms:
Tc1 0.000 0.308 0.000
Tc2 0.000 0.647 0.500
Tc3 0.308 0.000 0.000
Tc4 0.692 0.692 0.000
Tc5 0.647 0.000 0.500
Tc6 0.353 0.353 0.500
Au1 0.000 0.000 0.500
Au2 0.333 0.667 0.000
Au3 0.667 0.333 0.000

[4]
DFT (PBE) results for a relaxed structure of HfFeCo2B.

Results
SG = No. 123
energy = -8.261 eV/atom
ρ = 10.48 Mg/m³
ΔE_f = -0.400 eV/atom
magnetic moment = 1.0 μB per formula unit

a b c (Å): 3.843 3.843 3.895
angles (deg): 90.00 90.00 90.00
Last column: magnetic moment on the atom in μB.
Fractional coordinates of all 5 atoms:
Co1 0.000 0.500 0.000  0.31
Co2 0.500 0.000 0.000  0.31
B1 0.000 0.000 0.000  -0.04
Hf1 0.500 0.500 0.500  -0.15
Fe1 0.000 0.000 0.500  0.64

Question: Look up the ρ of the fourth one.
Answer: 10.48 Mg/m³